(1)
The following is a PBE-GGA calculation of crystalline Fe3Re at its relaxed geometry, from Alexandria via LeMat-Bulk.

abc: 2.8894 2.8894 5.9153
angles: 90.00 90.00 90.00
With the nearest neighbours (Å) after each atom.
Space group P4/mmm (No. 123)
Symmetry-distinct sites (fractional):
Fe1 0.0000 0.0000 0.0000 (multiplicity 1)  8 Fe 2.48
Fe2 0.5000 0.5000 0.2362 (multiplicity 2)  4 Fe 2.48, 4 Re 2.57
Re1 0.0000 0.0000 0.5000 (multiplicity 1)  8 Fe 2.57

* N(E_F): 0.8192 states/eV/atom

***

(2)
The following is a PBE-GGA calculation of crystalline AsPtAu at its relaxed geometry, from Alexandria via LeMat-Bulk.

abc: 3.4400 3.4400 9.1215
angles: 90.00 90.00 90.00
With the nearest neighbours (Å) after each atom.
Space group I4mm (No. 107)
Symmetry-distinct sites (fractional):
As1 0.0000 0.0000 0.0000 (multiplicity 2)  4 Pt 2.61, 1 Au 2.66
Pt1 0.0000 0.0000 0.6028 (multiplicity 2)  4 As 2.61, 1 Au 2.84
Au1 0.0000 0.0000 0.2913 (multiplicity 2)  1 As 2.66, 1 Pt 2.84

* N(E_F): 0.1912 states/eV/atom
* energy above the most stable polymorph in this dataset: 0.0202 eV/atom

***

(3)
The following is a PBE-GGA calculation of crystalline InNi2BIr at its relaxed geometry, from Alexandria via LeMat-Bulk.

abc: 3.9840 3.9840 4.0940
angles: 90.00 90.00 90.00
With the nearest neighbours (Å) after each atom.
Space group P4/mmm (No. 123)
Symmetry-distinct sites (fractional):
In1 0.0000 0.0000 0.0000 (multiplicity 1)  4 Ir 2.82, 8 Ni 2.86
Ni1 0.0000 0.5000 0.5000 (multiplicity 2)  2 B 1.99
B1 0.5000 0.5000 0.5000 (multiplicity 1)  4 Ni 1.99, 2 Ir 2.05
Ir1 0.5000 0.5000 0.0000 (multiplicity 1)  2 B 2.05

* N(E_F): 0.4877 states/eV/atom

***

(4)
The following is a PBE-GGA calculation of crystalline CsPaN2 at its relaxed geometry, from Alexandria via LeMat-Bulk.

abc: 3.6474 3.6474 7.3948
angles: 90.00 90.00 120.00
With the nearest neighbours (Å) after each atom.
Space group P3m1 (No. 156)
Symmetry-distinct sites (fractional):
Cs1 0.0000 0.0000 0.0000 (multiplicity 1)  4 N 3.03-3.16
Pa1 0.3333 0.6667 0.4652 (multiplicity 1)  6 N 2.30-2.37
N1 0.0000 0.0000 0.5899 (multiplicity 1)  3 Pa 2.30
N2 0.6667 0.3333 0.3184 (multiplicity 1)  3 Pa 2.37

* energy above the most stable polymorph in this dataset: 0.0550 eV/atom
* raw formation energy: -1051 meV/atom

***

(5)
The following is a PBE-GGA calculation of crystalline Cs8Au3I3F at its relaxed geometry, from Alexandria via LeMat-Bulk.

abc: 10.4456 10.4456 26.8672
angles: 90.00 90.00 120.00
With the nearest neighbours (Å) after each atom.
Space group R-3m (No. 166, hexagonal axes)
Symmetry-distinct sites (fractional):
Cs1 0.0000 0.0000 0.2438 (multiplicity 6)  3 Au 3.66, 3 I 3.86
Cs2 0.0363 0.5182 0.2358 (multiplicity 18)  1 F 3.27
Au1 0.0000 0.5000 0.5000 (multiplicity 9)  6 Cs 3.66-3.69
I1 0.0000 0.5000 0.0000 (multiplicity 9)  6 Cs 3.86-3.88
F1 0.0000 0.0000 0.5000 (multiplicity 3)  6 Cs 3.27

* N(E_F): 0.3729 states/eV/atom
* raw formation energy: -1060 meV/atom

***

(6)
The following is a PBE-GGA calculation of crystalline Zn5Cu4Pd2 at its relaxed geometry, from Alexandria via LeMat-Bulk.

abc: 6.6655 16.3837 2.8068
angles: 90.00 90.00 90.00
With the nearest neighbours (Å) after each atom.
Space group Pbam (No. 55)
Symmetry-distinct sites (fractional):
Zn1 0.0000 0.0000 0.0000 (multiplicity 2)  8 Cu 2.59-2.69, 4 Zn 2.72-2.81
Zn2 0.1268 0.4322 0.0000 (multiplicity 4)  6 Cu 2.59-2.66, 2 Pd 2.63, 4 Zn 2.72-2.81
Zn3 0.2229 0.1893 0.0000 (multiplicity 4)  4 Cu 2.57-2.60, 4 Pd 2.57-2.60, 2 Zn 2.81
Cu1 0.0786 0.8635 0.5000 (multiplicity 4)  6 Zn 2.60-2.69, 2 Pd 2.69-2.82, 3 Cu 2.75-2.81
Cu2 0.2095 0.5608 0.5000 (multiplicity 4)  8 Zn 2.57-2.65, 3 Cu 2.75-2.81, 1 Pd 2.86
Pd1 0.0496 0.3004 0.5000 (multiplicity 4)  6 Zn 2.57-2.63, 3 Cu 2.69-2.86, 2 Pd 2.81

* N(E_F): 0.3460 states/eV/atom

***

(7)
The following is a PBE-GGA calculation of crystalline CaAlIn2 at its relaxed geometry, from Alexandria via LeMat-Bulk.

abc: 3.5248 4.0731 7.1176
angles: 90.00 90.00 90.00
With the nearest neighbours (Å) after each atom.
Space group Pmm2 (No. 25)
Symmetry-distinct sites (fractional):
Ca1 0.0000 0.0000 0.0000 (multiplicity 1)  5 In 3.34-3.40, 4 Al 3.36, 2 Ca 3.52
Al1 0.5000 0.5000 0.7169 (multiplicity 1)  5 In 3.00-3.02
In1 0.0000 0.0000 0.5310 (multiplicity 1)  4 Al 3.00, 4 In 3.18, 1 Ca 3.34
In2 0.5000 0.5000 0.2924 (multiplicity 1)  1 Al 3.02, 4 In 3.18

* N(E_F): 0.2605 states/eV/atom

***

(8)
The following is a PBE-GGA calculation of crystalline Y2Rh3Pb2 at its relaxed geometry, from Alexandria via LeMat-Bulk.

abc: 8.5719 8.5719 8.5719
angles: 90.00 90.00 90.00
With the nearest neighbours (Å) after each atom.
Space group I2_13 (No. 199)
Symmetry-distinct sites (fractional):
Y1 0.0182 0.0182 0.0182 (multiplicity 8)  6 Rh 2.78-3.07, 1 Pb 3.10
Rh1 0.0000 0.2500 0.2451 (multiplicity 12)  2 Pb 2.75, 4 Y 2.78-3.07, 4 Rh 3.00
Pb1 0.1909 0.3091 0.6909 (multiplicity 8)  3 Rh 2.75

* N(E_F): 0.6503 states/eV/atom
* energy above the most stable polymorph in this dataset: 0.0000 eV/atom

***

| no. | total magnetic moment (μB/f.u.) | electronic total energy (eV/cell) |
| --- | --- | --- |
| 1 | 6.7 | -37.71 |
| 2 | 0.0 | -28.14 |
| 3 | 0.0 | -30.82 |
| 4 | 0.0 | -31.20 |
| 5 | 0.0 | -117.27 |
| 6 | 0.0 | -70.09 |
| 7 | 0.0 | -11.78 |
| 8 | 0.0 | -183.49 |